1.
# CsBaZrSn2

An optimized crystal structure of CsBaZrSn2 (PBEsol, the Alexandria database).

The value obtained for the raw total energy is -4.06 eV per atom. The spin magnetization is 0.081 μB/f.u. For the density of states at the Fermi level, the calculation gives 4.01 states/eV/f.u.

The structure belongs to space group P4/mmm (No. 123); the cell edges are 5.636, 5.636 and 5.796 Å and the angles 90.00°, 90.00° and 90.00°. The inequivalent atoms are Cs at (0.000, 0.000, 0.000), Ba at (0.500, 0.500, 0.000), Zr at (0.000, 0.000, 0.500) and Sn at (0.000, 0.500, 0.500).

---

2.
# CsBaSr2

An optimized crystal structure of CsBaSr2 (PBEsol, the Alexandria database).

The value obtained for the raw total energy is -1.53 eV per atom. The spin magnetization is 0.001 μB/f.u. For the density of states at the Fermi level, the calculation gives 6.07 states/eV/f.u.

The structure belongs to space group Fm-3m (No. 225); the cell edges are 9.965, 9.965 and 9.965 Å and the angles 90.00°, 90.00° and 90.00°. The inequivalent atoms are Cs at (0.000, 0.000, 0.000), Ba at (0.000, 0.000, 0.500) and Sr at (0.250, 0.250, 0.250).

---

3.
# CsBa2Sr

An optimized crystal structure of CsBa2Sr (PBEsol, the Alexandria database).

The value obtained for the raw total energy is -1.62 eV per atom. The spin magnetization is 0.002 μB/f.u. For the density of states at the Fermi level, the calculation gives 7.34 states/eV/f.u.

The structure belongs to space group Fm-3m (No. 225); the cell edges are 10.007, 10.007 and 10.007 Å and the angles 90.00°, 90.00° and 90.00°. The inequivalent atoms are Cs at (0.000, 0.000, 0.000), Ba at (0.250, 0.250, 0.250) and Sr at (0.000, 0.000, 0.500).

---

no.,formation enthalpy at 0 K (eV/atom)
1,0.077
2,0.167
3,0.151